1.
## Ca2CdGa3 (PBE-GGA)

Data for an optimized crystal structure of Ca2CdGa3.

abc: 8.3953 8.3953 8.3953
angles: 151.28 148.58 43.08
Fractional positions:
1 Ca 0.0000 0.0000 0.0000
2 Ca 0.7700 0.2700 0.5000
3 Cd 0.5948 0.5948 0.0000
4 Ga 0.1820 0.6820 0.5000
5 Ga 0.3424 0.8424 0.5000
6 Ga 0.4243 0.4243 0.0000

Space-group type   Imm2, No. 44
Formation enthalpy at 0 K   -0.406 eV per atom
VASP energy   -2.74 eV per atom
DOS at the Fermi energy   2.8 states/eV/cell



2.
## Zr2ReHg (PBE-GGA)

Data for an optimized crystal structure of Zr2ReHg.

abc: 2.9869 2.9869 9.7582
angles: 90.00 90.00 111.76
Fractional positions:
1 Zr 0.0000 0.0000 0.0000
2 Zr 0.5000 0.5000 0.2774
3 Re 0.5000 0.5000 0.7858
4 Hg 0.0000 0.0000 0.5405

Space-group type   Cmm2, No. 35
Formation enthalpy at 0 K   0.252 eV per atom
VASP energy   -7.21 eV per atom
DOS at the Fermi energy   4.3 states/eV/cell



3.
## Li2PmPt (PBE-GGA)

Data for an optimized crystal structure of Li2PmPt.

abc: 5.2116 5.7984 5.6344
angles: 90.00 109.59 90.00
Fractional positions:
1 Li 0.0705 0.0362 0.2752
2 Li 0.0705 0.4638 0.2752
3 Li 0.9295 0.5362 0.7248
4 Li 0.9295 0.9638 0.7248
5 Pm 0.4603 0.2500 0.7917
6 Pm 0.5397 0.7500 0.2083
7 Pt 0.3960 0.7500 0.6702
8 Pt 0.6040 0.2500 0.3298

Space-group type   P2_1/m, No. 11
Formation enthalpy at 0 K   -0.534 eV per atom
VASP energy   -4.19 eV per atom
DOS at the Fermi energy   3.2 states/eV/cell



4.
## Y2MgBe2 (PBE-GGA)

Data for an optimized crystal structure of Y2MgBe2.

abc: 7.2733 7.2733 4.0011
angles: 90.00 90.00 90.00
Fractional positions:
1 Y 0.1727 0.3273 0.0000
2 Y 0.3273 0.8273 0.0000
3 Y 0.6727 0.1727 0.0000
4 Y 0.8273 0.6727 0.0000
5 Mg 0.0000 0.0000 0.5000
6 Mg 0.5000 0.5000 0.5000
7 Be 0.1107 0.6107 0.5000
8 Be 0.3893 0.1107 0.5000
9 Be 0.6107 0.8893 0.5000
10 Be 0.8893 0.3893 0.5000

Space-group type   P4/mbm, No. 127
Formation enthalpy at 0 K   0.029 eV per atom
VASP energy   -4.37 eV per atom
DOS at the Fermi energy   12.9 states/eV/cell



5.
## ReW (PBE-GGA)

Data for an optimized crystal structure of ReW.

abc: 2.8001 2.8001 9.6164
angles: 90.00 90.00 120.00
Fractional positions:
1 Re 0.3333 0.6667 0.0000
2 Re 0.6667 0.3333 0.5000
3 W 0.3333 0.6667 0.2707
4 W 0.6667 0.3333 0.7707

Space-group type   P6_3mc, No. 186
Formation enthalpy at 0 K   0.785 eV per atom
VASP energy   -11.92 eV per atom
DOS at the Fermi energy   3.3 states/eV/cell



6.
## La3Pr6Cd (PBE-GGA)

Data for an optimized crystal structure of La3Pr6Cd.

abc: 10.8269 12.2089 5.4325
angles: 90.00 90.00 90.00
Fractional positions:
1 La 0.0000 0.0000 0.0000
2 La 0.1185 0.2146 0.5000
3 La 0.3815 0.7146 0.0000
4 La 0.5000 0.5000 0.5000
5 La 0.6185 0.2854 0.0000
6 La 0.8815 0.7854 0.5000
7 Pr 0.0734 0.7465 0.0000
8 Pr 0.1718 0.5776 0.5000
9 Pr 0.2211 0.8850 0.5000
10 Pr 0.2789 0.3850 0.0000
11 Pr 0.3282 0.0776 0.0000
12 Pr 0.4266 0.2465 0.5000
13 Pr 0.5734 0.7535 0.5000
14 Pr 0.6718 0.9224 0.0000
15 Pr 0.7211 0.6150 0.0000
16 Pr 0.7789 0.1150 0.5000
17 Pr 0.8282 0.4224 0.5000
18 Pr 0.9266 0.2535 0.0000
19 Cd 0.0000 0.5000 0.0000
20 Cd 0.5000 0.0000 0.5000

Space-group type   Pnnm, No. 58
Formation enthalpy at 0 K   0.038 eV per atom
VASP energy   -4.40 eV per atom
DOS at the Fermi energy   28.6 states/eV/cell



7.
## TlCu3S4 (PBE-GGA)

Data for an optimized crystal structure of TlCu3S4.

abc: 3.8515 3.8515 10.9075
angles: 90.00 90.00 90.00
Fractional positions:
1 Tl 0.0000 0.0000 0.0000
2 Cu 0.0000 0.0000 0.5000
3 Cu 0.5000 0.5000 0.2766
4 Cu 0.5000 0.5000 0.7234
5 S 0.0000 0.5000 0.1611
6 S 0.0000 0.5000 0.6115
7 S 0.5000 0.0000 0.3886
8 S 0.5000 0.0000 0.8389

Space-group type   P-4m2, No. 115
VASP energy   -4.08 eV per atom
DOS at the Fermi energy   5.7 states/eV/cell



8.
## PrNd2S4 (PBE-GGA)

Data for an optimized crystal structure of PrNd2S4.

abc: 7.0415 7.0415 13.5369
angles: 90.00 90.00 147.28
Fractional positions:
1 Pr 0.1256 0.8744 0.7500
2 Pr 0.8744 0.1256 0.2500
3 Nd 0.3706 0.6294 0.5700
4 Nd 0.3706 0.6294 0.9300
5 Nd 0.6294 0.3706 0.0700
6 Nd 0.6294 0.3706 0.4300
7 S 0.0000 0.0000 0.0000
8 S 0.0000 0.0000 0.5000
9 S 0.2757 0.7243 0.1223
10 S 0.2757 0.7243 0.3777
11 S 0.4725 0.5275 0.7500
12 S 0.5275 0.4725 0.2500
13 S 0.7243 0.2757 0.6223
14 S 0.7243 0.2757 0.8777

Space-group type   Cmcm, No. 63
VASP energy   -6.44 eV per atom
DOS at the Fermi energy   3.6 states/eV/cell



9.
## LaTbHo2Se6 (PBE-GGA)

Data for an optimized crystal structure of LaTbHo2Se6.

abc: 7.7396 7.7396 7.7396
angles: 56.40 56.40 56.40
Fractional positions:
1 La 0.0000 0.0000 0.0000
2 Tb 0.4927 0.4927 0.4927
3 Ho 0.2939 0.2939 0.2939
4 Ho 0.7980 0.7980 0.7980
5 Se 0.0819 0.6725 0.4216
6 Se 0.1949 0.5816 0.8992
7 Se 0.4216 0.0819 0.6725
8 Se 0.5816 0.8992 0.1949
9 Se 0.6725 0.4216 0.0819
10 Se 0.8992 0.1949 0.5816

Space-group type   R3, No. 146
VASP energy   -5.84 eV per atom
DOS at the Fermi energy   0.0 states/eV/cell



10.
## MnTlAg2 (PBE-GGA)

Data for an optimized crystal structure of MnTlAg2.

abc: 4.9452 4.9452 4.9452
angles: 126.38 126.38 79.26
Fractional positions:
1 Mn 0.0000 0.0000 0.0000
2 Tl 0.2500 0.7500 0.5000
3 Ag 0.5000 0.5000 0.0000
4 Ag 0.7500 0.2500 0.5000

Space-group type   I-4m2, No. 119
Formation enthalpy at 0 K   0.274 eV per atom
VASP energy   -4.04 eV per atom
DOS at the Fermi energy   1.5 states/eV/cell



11.
## ReTe3 (PBE-GGA)

Data for an optimized crystal structure of ReTe3.

abc: 3.6203 4.9546 6.0565
angles: 90.00 90.00 90.00
Fractional positions:
1 Re 0.0000 0.0000 0.0000
2 Te 0.0000 0.5000 0.2025
3 Te 0.5000 0.0000 0.3186
4 Te 0.5000 0.5000 0.7876

Space-group type   Pmm2, No. 25
VASP energy   -4.69 eV per atom
DOS at the Fermi energy   4.3 states/eV/cell



12.
## Na2YZrH (PBE-GGA)

Data for an optimized crystal structure of Na2YZrH.

abc: 4.8086 4.8086 4.8702
angles: 90.00 90.00 90.00
Fractional positions:
1 Na 0.0000 0.5000 0.0000
2 Na 0.5000 0.0000 0.0000
3 Y 0.0000 0.0000 0.5000
4 Zr 0.5000 0.5000 0.5000
5 H 0.0000 0.0000 0.0000

Space-group type   P4/mmm, No. 123
VASP energy   -3.76 eV per atom
DOS at the Fermi energy   5.3 states/eV/cell



13.
## ReAg2Hg (PBE-GGA)

Data for an optimized crystal structure of ReAg2Hg.

abc: 10.0660 10.0660 10.0660
angles: 16.41 16.41 16.41
Fractional positions:
1 Re 0.0000 0.0000 0.0000
2 Ag 0.2542 0.2542 0.2542
3 Ag 0.7458 0.7458 0.7458
4 Hg 0.5000 0.5000 0.5000

Space-group type   R-3m, No. 166
Formation enthalpy at 0 K   0.481 eV per atom
VASP energy   -4.13 eV per atom
DOS at the Fermi energy   3.7 states/eV/cell



14.
## CaTlAuI2 (PBE-GGA)

Data for an optimized crystal structure of CaTlAuI2.

abc: 6.0942 6.0942 5.7046
angles: 90.00 90.00 90.00
Fractional positions:
1 Ca 0.0000 0.0000 0.0000
2 Tl 0.5000 0.5000 0.5000
3 Au 0.0000 0.0000 0.5000
4 I 0.0000 0.5000 0.0000
5 I 0.5000 0.0000 0.0000

Space-group type   P4/mmm, No. 123
VASP energy   -2.83 eV per atom
DOS at the Fermi energy   0.0 states/eV/cell



15.
## K2Cl (PBE-GGA)

Data for an optimized crystal structure of K2Cl.

abc: 8.1736 8.1736 8.1736
angles: 90.00 90.00 90.00
Fractional positions:
1 K 0.1626 0.1626 0.1626
2 K 0.1626 0.3374 0.6626
3 K 0.3374 0.6626 0.1626
4 K 0.3374 0.8374 0.6626
5 K 0.6626 0.1626 0.3374
6 K 0.6626 0.3374 0.8374
7 K 0.8374 0.6626 0.3374
8 K 0.8374 0.8374 0.8374
9 Cl 0.0000 0.0000 0.5000
10 Cl 0.0000 0.5000 0.0000
11 Cl 0.5000 0.0000 0.0000
12 Cl 0.5000 0.5000 0.5000

Space-group type   Pa-3, No. 205
VASP energy   -2.45 eV per atom
DOS at the Fermi energy   6.9 states/eV/cell



16.
## BeIr2Pb (PBE-GGA)

Data for an optimized crystal structure of BeIr2Pb.

abc: 4.6182 4.6182 4.6182
angles: 126.15 126.15 79.64
Fractional positions:
1 Be 0.0000 0.0000 0.0000
2 Ir 0.2500 0.7500 0.5000
3 Ir 0.7500 0.2500 0.5000
4 Pb 0.5000 0.5000 0.0000

Space-group type   I4/mmm, No. 139
Formation enthalpy at 0 K   0.305 eV per atom
VASP energy   -5.98 eV per atom
DOS at the Fermi energy   1.7 states/eV/cell



17.
## Na3GeOs (PBE-GGA)

Data for an optimized crystal structure of Na3GeOs.

abc: 5.4239 5.4239 5.4239
angles: 90.00 90.00 90.00
Fractional positions:
1 Na 0.0000 0.0000 0.5000
2 Na 0.0000 0.5000 0.0000
3 Na 0.5000 0.0000 0.0000
4 Ge 0.5000 0.5000 0.5000
5 Os 0.0000 0.0000 0.0000

Space-group type   Pm-3m, No. 221
Formation enthalpy at 0 K   1.490 eV per atom
VASP energy   -2.47 eV per atom
DOS at the Fermi energy   6.6 states/eV/cell



18.
## ZnOs3 (PBE-GGA)

Data for an optimized crystal structure of ZnOs3.

abc: 8.9804 8.9804 8.9804
angles: 17.53 17.53 17.53
Fractional positions:
1 Zn 0.0000 0.0000 0.0000
2 Os 0.2488 0.2488 0.2488
3 Os 0.5000 0.5000 0.5000
4 Os 0.7512 0.7512 0.7512

Space-group type   R-3m, No. 166
Formation enthalpy at 0 K   0.165 eV per atom
VASP energy   -8.58 eV per atom
DOS at the Fermi energy   3.4 states/eV/cell



19.
## Tb5Ce2Dy12 (PBE-GGA)

Data for an optimized crystal structure of Tb5Ce2Dy12.

abc: 6.1729 10.0965 10.5015
angles: 67.03 84.53 87.59
Fractional positions:
1 Tb 0.0000 0.0000 0.0000
2 Tb 0.0963 0.9976 0.3357
3 Tb 0.4286 0.5047 0.1658
4 Tb 0.5714 0.4953 0.8342
5 Tb 0.9037 0.0024 0.6643
6 Ce 0.3013 0.5171 0.4585
7 Ce 0.6987 0.4829 0.5415
8 Dy 0.0502 0.3008 0.7358
9 Dy 0.0826 0.6736 0.6531
10 Dy 0.1120 0.3284 0.0303
11 Dy 0.3875 0.8287 0.8330
12 Dy 0.4042 0.1670 0.5053
13 Dy 0.4729 0.8471 0.1606
14 Dy 0.5271 0.1529 0.8394
15 Dy 0.5958 0.8330 0.4947
16 Dy 0.6125 0.1713 0.1670
17 Dy 0.8880 0.6716 0.9697
18 Dy 0.9174 0.3264 0.3469
19 Dy 0.9498 0.6992 0.2642

Space-group type   P-1, No. 2
Formation enthalpy at 0 K   0.102 eV per atom
VASP energy   -4.65 eV per atom
DOS at the Fermi energy   31.5 states/eV/cell



20.
## BaGaGe2 (PBE-GGA)

Data for an optimized crystal structure of BaGaGe2.

abc: 5.2484 5.2484 5.2484
angles: 60.00 60.00 60.00
Fractional positions:
1 Ba 0.0000 0.0000 0.0000
2 Ga 0.5000 0.5000 0.5000
3 Ge 0.2500 0.2500 0.2500
4 Ge 0.7500 0.7500 0.7500

Space-group type   Fm-3m, No. 225
Formation enthalpy at 0 K   0.013 eV per atom
VASP energy   -3.53 eV per atom
DOS at the Fermi energy   2.7 states/eV/cell



21.
## CuRh2W (PBE-GGA)

Data for an optimized crystal structure of CuRh2W.

abc: 4.7477 4.7477 4.6306
angles: 100.18 100.18 33.87
Fractional positions:
1 Cu 0.0000 0.0000 0.0000
2 Rh 0.2506 0.2506 0.7884
3 Rh 0.5038 0.5038 0.4933
4 W 0.7541 0.7541 0.2815

Space-group type   Cm, No. 8
Formation enthalpy at 0 K   0.008 eV per atom
VASP energy   -7.93 eV per atom
DOS at the Fermi energy   4.7 states/eV/cell



22.
## LuNpSb2 (PBE-GGA)

Data for an optimized crystal structure of LuNpSb2.

abc: 7.5618 7.5618 7.5618
angles: 33.42 33.42 33.42
Fractional positions:
1 Lu 0.0000 0.0000 0.0000
2 Np 0.5000 0.5000 0.5000
3 Sb 0.2521 0.2521 0.2521
4 Sb 0.7479 0.7479 0.7479

Space-group type   R-3m, No. 166
VASP energy   -7.03 eV per atom
DOS at the Fermi energy   10.8 states/eV/cell



23.
## RbBaAl2As (PBE-GGA)

Data for an optimized crystal structure of RbBaAl2As.

abc: 5.2463 5.2463 6.1426
angles: 90.00 90.00 90.00
Fractional positions:
1 Rb 0.0000 0.0000 0.0000
2 Ba 0.5000 0.5000 0.0000
3 Al 0.0000 0.5000 0.5000
4 Al 0.5000 0.0000 0.5000
5 As 0.0000 0.0000 0.5000

Space-group type   P4/mmm, No. 123
Formation enthalpy at 0 K   0.260 eV per atom
VASP energy   -2.74 eV per atom
DOS at the Fermi energy   3.6 states/eV/cell



24.
## Sr2RhW (PBE-GGA)

Data for an optimized crystal structure of Sr2RhW.

abc: 3.1542 4.2693 7.2408
angles: 90.00 90.00 90.00
Fractional positions:
1 Sr 0.0000 0.0000 0.2307
2 Sr 0.0000 0.0000 0.7693
3 Rh 0.5000 0.5000 0.0000
4 W 0.5000 0.5000 0.5000

Space-group type   Pmmm, No. 47
Formation enthalpy at 0 K   0.969 eV per atom
VASP energy   -4.95 eV per atom
DOS at the Fermi energy   3.1 states/eV/cell



25.
## CaLa2Cd3 (PBE-GGA)

Data for an optimized crystal structure of CaLa2Cd3.

abc: 5.5212 5.5212 13.5412
angles: 90.00 90.00 120.00
Fractional positions:
1 Ca 0.3333 0.6667 0.1669
2 Ca 0.6667 0.3333 0.8331
3 La 0.0000 0.0000 0.0000
4 La 0.0000 0.0000 0.5000
5 La 0.3333 0.6667 0.6713
6 La 0.6667 0.3333 0.3287
7 Cd 0.0000 0.0000 0.2474
8 Cd 0.0000 0.0000 0.7526
9 Cd 0.3333 0.6667 0.4158
10 Cd 0.3333 0.6667 0.9177
11 Cd 0.6667 0.3333 0.0823
12 Cd 0.6667 0.3333 0.5842

Space-group type   P-3m1, No. 164
Formation enthalpy at 0 K   -0.361 eV per atom
VASP energy   -2.79 eV per atom
DOS at the Fermi energy   10.8 states/eV/cell